# TbPr9In2 | Alexandria via LeMat-Bulk | PBE-GGA | relaxed
# Fermi-level density of states ... 15.05 states/eV per cell
# Calculated formation energy ... -174 meV/atom
data_TbPr9In2
_space_group_name_H-M_alt 'P 1'
_space_group_IT_number 1
_cell_length_a 5.050
_cell_length_b 5.050
_cell_length_c 15.474
_cell_angle_alpha 90.00
_cell_angle_beta 90.00
_cell_angle_gamma 90.00
loop_
_space_group_symop_operation_xyz
'x,y,z'
loop_
_atom_site_label
_atom_site_type_symbol
_atom_site_fract_x
_atom_site_fract_y
_atom_site_fract_z
Tb1 Tb 0.000 0.000 0.000
Pr1 Pr 0.000 0.500 0.173
Pr2 Pr 0.000 0.500 0.500
Pr3 Pr 0.000 0.500 0.827
Pr4 Pr 0.500 0.000 0.173
Pr5 Pr 0.500 0.000 0.500
Pr6 Pr 0.500 0.000 0.827
Pr7 Pr 0.500 0.500 0.000
Pr8 Pr 0.500 0.500 0.337
Pr9 Pr 0.500 0.500 0.663
In1 In 0.000 0.000 0.338
In2 In 0.000 0.000 0.662


# Fe2CuPd | Alexandria via LeMat-Bulk | PBE-GGA | relaxed
# ΔE to the lowest computed polymorph ... 37.37 kJ/mol of atoms
# Fermi-level density of states ... 7.25 states/eV per cell
# Calculated formation energy ... 460 meV/atom
data_Fe2CuPd
_space_group_name_H-M_alt 'P 1'
_space_group_IT_number 1
_cell_length_a 5.394
_cell_length_b 5.394
_cell_length_c 5.394
_cell_angle_alpha 102.37
_cell_angle_beta 102.37
_cell_angle_gamma 124.87
loop_
_space_group_symop_operation_xyz
'x,y,z'
loop_
_atom_site_label
_atom_site_type_symbol
_atom_site_fract_x
_atom_site_fract_y
_atom_site_fract_z
Fe1 Fe 0.113 0.625 0.988
Fe2 Fe 0.375 0.363 0.488
Fe3 Fe 0.637 0.125 0.012
Fe4 Fe 0.875 0.887 0.512
Cu1 Cu 0.000 0.000 0.000
Cu2 Cu 0.750 0.250 0.500
Pd1 Pd 0.250 0.750 0.500
Pd2 Pd 0.500 0.500 0.000


# NaNdYPb | Alexandria via LeMat-Bulk | PBE-GGA | relaxed
# Fermi-level density of states ... 3.61 states/eV per cell
# Calculated formation energy ... -197 meV/atom
data_NaNdYPb
_space_group_name_H-M_alt 'P 1'
_space_group_IT_number 1
_cell_length_a 5.481
_cell_length_b 5.481
_cell_length_c 5.481
_cell_angle_alpha 60.00
_cell_angle_beta 60.00
_cell_angle_gamma 60.00
loop_
_space_group_symop_operation_xyz
'x,y,z'
loop_
_atom_site_label
_atom_site_type_symbol
_atom_site_fract_x
_atom_site_fract_y
_atom_site_fract_z
Na1 Na 0.000 0.000 0.000
Nd1 Nd 0.250 0.250 0.250
Y1 Y 0.750 0.750 0.750
Pb1 Pb 0.500 0.500 0.500


# ReMo2Rh | Alexandria via LeMat-Bulk | PBE-GGA | relaxed
# ΔE to the lowest computed polymorph ... 9.27 kJ/mol of atoms
# Fermi-level density of states ... 4.23 states/eV per cell
# Calculated formation energy ... 92 meV/atom
data_ReMo2Rh
_space_group_name_H-M_alt 'P 1'
_space_group_IT_number 1
_cell_length_a 2.738
_cell_length_b 3.956
_cell_length_c 5.643
_cell_angle_alpha 90.00
_cell_angle_beta 90.00
_cell_angle_gamma 90.00
loop_
_space_group_symop_operation_xyz
'x,y,z'
loop_
_atom_site_label
_atom_site_type_symbol
_atom_site_fract_x
_atom_site_fract_y
_atom_site_fract_z
Re1 Re 0.000 0.000 0.000
Mo1 Mo 0.000 0.000 0.489
Mo2 Mo 0.500 0.500 0.754
Rh1 Rh 0.500 0.500 0.246


# Tm2AlCdAu4 | Alexandria via LeMat-Bulk | PBE-GGA | relaxed
# Fermi-level density of states ... 3.60 states/eV per cell
# Calculated formation energy ... -701 meV/atom
data_Tm2AlCdAu4
_space_group_name_H-M_alt 'P 1'
_space_group_IT_number 1
_cell_length_a 8.327
_cell_length_b 8.327
_cell_length_c 8.327
_cell_angle_alpha 33.93
_cell_angle_beta 33.93
_cell_angle_gamma 33.93
loop_
_space_group_symop_operation_xyz
'x,y,z'
loop_
_atom_site_label
_atom_site_type_symbol
_atom_site_fract_x
_atom_site_fract_y
_atom_site_fract_z
Tm1 Tm 0.248 0.248 0.248
Tm2 Tm 0.752 0.752 0.752
Al1 Al 0.000 0.000 0.000
Cd1 Cd 0.500 0.500 0.500
Au1 Au 0.117 0.117 0.117
Au2 Au 0.371 0.371 0.371
Au3 Au 0.629 0.629 0.629
Au4 Au 0.883 0.883 0.883


# NaGa2Sn | Alexandria via LeMat-Bulk | PBE-GGA | relaxed
# Fermi-level density of states ... 4.46 states/eV per cell
# Calculated formation energy ... 113 meV/atom
data_NaGa2Sn
_space_group_name_H-M_alt 'P 1'
_space_group_IT_number 1
_cell_length_a 10.705
_cell_length_b 10.705
_cell_length_c 10.705
_cell_angle_alpha 156.62
_cell_angle_beta 156.62
_cell_angle_gamma 33.30
loop_
_space_group_symop_operation_xyz
'x,y,z'
loop_
_atom_site_label
_atom_site_type_symbol
_atom_site_fract_x
_atom_site_fract_y
_atom_site_fract_z
Na1 Na 0.000 0.000 0.000
Na2 Na 0.750 0.250 0.500
Ga1 Ga 0.120 0.625 0.995
Ga2 Ga 0.375 0.370 0.495
Ga3 Ga 0.630 0.125 0.005
Ga4 Ga 0.875 0.880 0.505
Sn1 Sn 0.250 0.750 0.500
Sn2 Sn 0.500 0.500 0.000


# Tb4NdTm3 | Alexandria via LeMat-Bulk | PBE-GGA | relaxed
# ΔE to the lowest computed polymorph ... 0.00 kJ/mol of atoms
# Fermi-level density of states ... 25.64 states/eV per cell
# Calculated formation energy ... 10 meV/atom
data_Tb4NdTm3
_space_group_name_H-M_alt 'P 1'
_space_group_IT_number 1
_cell_length_a 11.267
_cell_length_b 7.258
_cell_length_c 6.268
_cell_angle_alpha 90.00
_cell_angle_beta 90.00
_cell_angle_gamma 90.00
loop_
_space_group_symop_operation_xyz
'x,y,z'
loop_
_atom_site_label
_atom_site_type_symbol
_atom_site_fract_x
_atom_site_fract_y
_atom_site_fract_z
Tb1 Tb 0.000 0.126 0.000
Tb2 Tb 0.000 0.874 0.496
Tb3 Tb 0.247 0.875 0.832
Tb4 Tb 0.253 0.125 0.332
Tb5 Tb 0.500 0.126 0.996
Tb6 Tb 0.500 0.874 0.500
Tb7 Tb 0.747 0.125 0.332
Tb8 Tb 0.753 0.875 0.832
Nd1 Nd 0.000 0.375 0.498
Nd2 Nd 0.500 0.625 0.998
Tm1 Tm 0.000 0.624 0.999
Tm2 Tm 0.250 0.376 0.831
Tm3 Tm 0.250 0.624 0.331
Tm4 Tm 0.500 0.376 0.499
Tm5 Tm 0.750 0.376 0.831
Tm6 Tm 0.750 0.624 0.331


# Zr2Ga4Co5 | Alexandria via LeMat-Bulk | PBE-GGA | relaxed
# Fermi-level density of states ... 7.21 states/eV per cell
# Calculated formation energy ... -233 meV/atom
data_Zr2Ga4Co5
_space_group_name_H-M_alt 'P 1'
_space_group_IT_number 1
_cell_length_a 8.486
_cell_length_b 7.736
_cell_length_c 5.059
_cell_angle_alpha 80.13
_cell_angle_beta 63.90
_cell_angle_gamma 35.97
loop_
_space_group_symop_operation_xyz
'x,y,z'
loop_
_atom_site_label
_atom_site_type_symbol
_atom_site_fract_x
_atom_site_fract_y
_atom_site_fract_z
Zr1 Zr 0.113 0.113 0.887
Zr2 Zr 0.887 0.887 0.113
Ga1 Ga 0.213 0.526 0.474
Ga2 Ga 0.474 0.787 0.213
Ga3 Ga 0.526 0.213 0.787
Ga4 Ga 0.787 0.474 0.526
Co1 Co 0.000 0.000 0.500
Co2 Co 0.250 0.250 0.250
Co3 Co 0.500 0.500 0.000
Co4 Co 0.500 0.500 0.500
Co5 Co 0.750 0.750 0.750


# Hf2Al5Fe2Cu | Alexandria via LeMat-Bulk | PBE-GGA | relaxed
# Fermi-level density of states ... 17.20 states/eV per cell
# Calculated formation energy ... -306 meV/atom
data_Hf2Al5Fe2Cu
_space_group_name_H-M_alt 'P 1'
_space_group_IT_number 1
_cell_length_a 8.843
_cell_length_b 8.843
_cell_length_c 3.963
_cell_angle_alpha 90.00
_cell_angle_beta 90.00
_cell_angle_gamma 90.00
loop_
_space_group_symop_operation_xyz
'x,y,z'
loop_
_atom_site_label
_atom_site_type_symbol
_atom_site_fract_x
_atom_site_fract_y
_atom_site_fract_z
Hf1 Hf 0.178 0.322 0.000
Hf2 Hf 0.322 0.822 0.000
Hf3 Hf 0.678 0.178 0.000
Hf4 Hf 0.822 0.678 0.000
Al1 Al 0.000 0.500 0.500
Al2 Al 0.067 0.790 0.500
Al3 Al 0.210 0.067 0.500
Al4 Al 0.290 0.567 0.500
Al5 Al 0.433 0.290 0.500
Al6 Al 0.500 0.000 0.500
Al7 Al 0.567 0.710 0.500
Al8 Al 0.710 0.433 0.500
Al9 Al 0.790 0.933 0.500
Al10 Al 0.933 0.210 0.500
Fe1 Fe 0.115 0.615 0.000
Fe2 Fe 0.385 0.115 0.000
Fe3 Fe 0.615 0.885 0.000
Fe4 Fe 0.885 0.385 0.000
Cu1 Cu 0.000 0.000 0.000
Cu2 Cu 0.500 0.500 0.000


# Rb2GaCoI6 | Alexandria via LeMat-Bulk | PBE-GGA | relaxed
# Fermi-level density of states ... 0.00 states/eV per cell
# Formation energy (no corrections) ... -6.6 eV per formula unit
data_Rb2GaCoI6
_space_group_name_H-M_alt 'P 1'
_space_group_IT_number 1
_cell_length_a 8.111
_cell_length_b 8.111
_cell_length_c 8.111
_cell_angle_alpha 119.97
_cell_angle_beta 119.97
_cell_angle_gamma 90.05
loop_
_space_group_symop_operation_xyz
'x,y,z'
loop_
_atom_site_label
_atom_site_type_symbol
_atom_site_fract_x
_atom_site_fract_y
_atom_site_fract_z
Rb1 Rb 0.250 0.750 0.500
Rb2 Rb 0.750 0.250 0.500
Ga1 Ga 0.000 0.000 0.000
Co1 Co 0.500 0.500 0.000
I1 I 0.268 0.268 0.000
I2 I 0.268 0.268 0.536
I3 I 0.268 0.732 0.000
I4 I 0.732 0.268 0.000
I5 I 0.732 0.732 0.000
I6 I 0.732 0.732 0.464


# CaGd2Ho | Alexandria via LeMat-Bulk | PBE-GGA | relaxed
# ΔE to the lowest computed polymorph ... 8.48 kJ/mol of atoms
# Fermi-level density of states ... 5.45 states/eV per cell
# Calculated formation energy ... 144 meV/atom
data_CaGd2Ho
_space_group_name_H-M_alt 'P 1'
_space_group_IT_number 1
_cell_length_a 12.699
_cell_length_b 12.699
_cell_length_c 12.699
_cell_angle_alpha 16.10
_cell_angle_beta 16.10
_cell_angle_gamma 16.10
loop_
_space_group_symop_operation_xyz
'x,y,z'
loop_
_atom_site_label
_atom_site_type_symbol
_atom_site_fract_x
_atom_site_fract_y
_atom_site_fract_z
Ca1 Ca 0.000 0.000 0.000
Gd1 Gd 0.091 0.091 0.091
Gd2 Gd 0.909 0.909 0.909
Ho1 Ho 0.500 0.500 0.500


# Al2CrHg | Alexandria via LeMat-Bulk | PBE-GGA | relaxed
# Fermi-level density of states ... 2.60 states/eV per cell
# Calculated formation energy ... 133 meV/atom
data_Al2CrHg
_space_group_name_H-M_alt 'P 1'
_space_group_IT_number 1
_cell_length_a 4.080
_cell_length_b 4.080
_cell_length_c 3.949
_cell_angle_alpha 90.00
_cell_angle_beta 90.00
_cell_angle_gamma 90.00
loop_
_space_group_symop_operation_xyz
'x,y,z'
loop_
_atom_site_label
_atom_site_type_symbol
_atom_site_fract_x
_atom_site_fract_y
_atom_site_fract_z
Al1 Al 0.000 0.500 0.000
Al2 Al 0.500 0.000 0.000
Cr1 Cr 0.000 0.000 0.500
Hg1 Hg 0.500 0.500 0.500


no.,V (Å³/atom)
1,32.9
2,14.3
3,29.1
4,15.3
5,20.0
6,24.1
7,32.0
8,14.9
9,15.5
10,37.7
11,34.3
12,16.4